Below is a relaxed structure of Sc2TiFeO6, with properties calculated at the PBE with a Hubbard U level.

```
Sc2TiFeO6
1.0
5.271 0.000 0.000
-2.614 4.586 0.000
-0.081 -2.998 4.729
Sc Ti Fe O
2 1 1 6
Cartesian
0.000 0.000 0.000
-0.022 3.071 2.388
2.622 1.535 1.787
-0.060 0.014 4.086
-0.942 1.645 0.943
0.731 -1.733 3.200
1.890 -0.009 0.946
1.088 1.558 3.215
1.643 2.928 0.900
3.367 0.192 3.243
```

- uncorrected energy (eV per atom) = -8.547
- total moment (μB/cell) = 4.0
- symmetry = P1, No. 1